[1]
This record from Alexandria via LeMat-Bulk describes crystalline Ni2HgW at its relaxed geometry. The functional is PBE.

a = 2.8810 Å, b = 4.3412 Å, c = 4.7912 Å
α = 90.00°, β = 90.00°, γ = 90.00°
Last column: nearest neighbours and their distance in Å.
Space group Pmmm (No. 47)
One atom of each set of equivalent atoms:
Ni: 0.0000 0.0000 0.0000 [1 per cell]  4 W 2.61, 6 Ni 2.80-2.88
Ni: 0.5000 0.0000 0.5000 [1 per cell]  4 Hg 2.61, 6 Ni 2.80-2.88
Hg: 0.0000 0.5000 0.5000 [1 per cell]  4 Ni 2.61, 4 W 2.80, 2 Hg 2.88
W: 0.5000 0.5000 0.0000 [1 per cell]  4 Ni 2.61, 4 Hg 2.80, 2 W 2.88

Output
Its energy of formation is 0.641 eV per atom.

[2]
This record from Alexandria via LeMat-Bulk describes crystalline CrTc2HgBr at its relaxed geometry. The functional is PBE.

a = 5.2950 Å, b = 5.2950 Å, c = 4.9506 Å
α = 90.00°, β = 90.00°, γ = 90.00°
Last column: nearest neighbours and their distance in Å.
Space group P4/mmm (No. 123)
One atom of each set of equivalent atoms:
Cr: 0.0000 0.0000 0.0000 [1 per cell]  2 Hg 2.48
Tc: 0.0000 0.5000 0.5000 [2 per cell]  2 Hg 2.65
Hg: 0.0000 0.0000 0.5000 [1 per cell]  2 Cr 2.48, 4 Tc 2.65
Br: 0.5000 0.5000 0.0000 [1 per cell]  8 Tc 3.62, 4 Cr 3.74

Output
The calculation puts the uncorrected formation energy at 2.36 eV per atom.

[3]
This record from Alexandria via LeMat-Bulk describes crystalline LaMnReW2 at its relaxed geometry. The functional is PBE.

a = 4.5190 Å, b = 4.5190 Å, c = 4.8718 Å
α = 90.00°, β = 90.00°, γ = 90.00°
Last column: nearest neighbours and their distance in Å.
Space group P4/mmm (No. 123)
One atom of each set of equivalent atoms:
La: 0.0000 0.0000 0.0000 [1 per cell]  2 Mn 2.44
Mn: 0.0000 0.0000 0.5000 [1 per cell]  4 W 2.26, 2 La 2.44
Re: 0.5000 0.5000 0.0000 [1 per cell]  4 La 3.20, 8 W 3.32
W: 0.0000 0.5000 0.5000 [2 per cell]  2 Mn 2.26

Output
Its energy of formation is 1.561 eV per atom.

[4]
This record from Alexandria via LeMat-Bulk describes crystalline CoMo2I2 at its relaxed geometry. The functional is PBE.

a = 3.6072 Å, b = 3.6072 Å, c = 16.7948 Å
α = 90.00°, β = 90.00°, γ = 90.00°
Last column: nearest neighbours and their distance in Å.
Space group I4/mmm (No. 139)
One atom of each set of equivalent atoms:
Co: 0.0000 0.0000 0.0000 [2 per cell]  8 I 3.09
Mo: 0.0000 0.5000 0.2500 [4 per cell]  4 Mo 2.55
I: 0.0000 0.0000 0.3959 [4 per cell]  4 Mo 3.04, 4 Co 3.09

Output
The value obtained for the energy above the lowest structure with this stoichiometry is 35 meV per atom. The calculation puts the uncorrected formation energy at 1.10 eV per atom.

[5]
This record from Alexandria via LeMat-Bulk describes crystalline AlWSe at its relaxed geometry. The functional is PBE.

a = 12.6499 Å, b = 3.1709 Å, c = 5.4933 Å
α = 90.00°, β = 90.00°, γ = 90.00°
Last column: nearest neighbours and their distance in Å.
Space group Amm2 (No. 38)
One atom of each set of equivalent atoms:
Al: 0.1521 0.0000 0.0000 [4 per cell]  1 Se 2.64, 3 W 2.66
W: 0.0000 0.0000 0.3333 [2 per cell]  6 Al 2.66
W: 0.5000 0.0000 0.6650 [2 per cell]  6 Se 2.54
Se: 0.3606 0.0000 0.9984 [4 per cell]  3 W 2.54, 1 Al 2.64

Output
The value obtained for the energy above the lowest structure with this stoichiometry is 33 meV per atom. The calculation puts the uncorrected formation energy at 0.04 eV per atom.

[6]
This record from Alexandria via LeMat-Bulk describes crystalline LaGd2Mg at its relaxed geometry. The functional is PBE.

a = 4.9953 Å, b = 4.9953 Å, c = 5.0584 Å
α = 90.00°, β = 90.00°, γ = 90.00°
Last column: nearest neighbours and their distance in Å.
Space group P4/mmm (No. 123)
One atom of each set of equivalent atoms:
La: 0.0000 0.0000 0.0000 [1 per cell]  4 Mg 3.53, 8 Gd 3.55
Gd: 0.0000 0.5000 0.5000 [2 per cell]  4 Gd 3.53, 4 La 3.55, 4 Mg 3.55
Mg: 0.5000 0.5000 0.0000 [1 per cell]  4 La 3.53, 8 Gd 3.55

Output
Its energy of formation is -0.007 eV per atom. The value obtained for the energy above the lowest structure with this stoichiometry is 26 meV per atom.

Results for uncorrected energy: -5.56; -4.10; -8.93; -5.27; -6.68; -8.68 (in eV per atom, following the order of the records).
Results for V: 59.9; 138.8; 99.5; 218.5; 220.3; 126.2 (in Å³/cell, following the order of the records).